A plane-wave DFT calculation with PBE+U was carried out for a relaxed structure of Li2NiO3. Values from VASP.

Structure (Quantum ESPRESSO input):
```
&SYSTEM
  ibrav = 0, nat = 12, ntyp = 3
/
ATOMIC_SPECIES
Li 6.94 Li.upf
Ni 58.69 Ni.upf
O 16.00 O.upf
CELL_PARAMETERS angstrom
5.071 -2.946 0.000
5.071 2.946 0.000
0.000 0.000 4.073
ATOMIC_POSITIONS crystal
Li 0.011 0.334 0.250
Li 0.334 0.011 0.750
Li 0.666 0.989 0.250
Li 0.989 0.666 0.750
Ni 0.324 0.676 0.250
Ni 0.676 0.324 0.750
O 0.019 0.669 0.250
O 0.331 0.981 0.250
O 0.354 0.646 0.750
O 0.646 0.354 0.250
O 0.669 0.019 0.750
O 0.981 0.331 0.750
```

The calculation puts the energy above the most stable polymorph in this dataset at 185 meV/atom. Its volume is 10.1 Å³ per atom. Its total magnetization is 3.197 μB per formula unit.